(1)
VASP calculation (PBE) on a relaxed structure of KGdTeO.

Output
E above lowest polymorph in meV/atom: 195.0

Unit cell a=4.260 b=4.260 c=10.711 alpha=90.00 beta=90.00 gamma=90.00
Space group P4/nmm (No. 129, origin choice 2)
One atom of each set of equivalent atoms:
K  0.250  0.750  0.000 [2 per cell]
Gd  0.250  0.250  0.410 [2 per cell]
Te  0.250  0.250  0.765 [2 per cell]
O  0.250  0.750  0.500 [2 per cell]

(2)
VASP calculation (PBE) on a relaxed structure of MgPaAsO.

Output
E above lowest polymorph in meV/atom: 0.0

Unit cell a=4.049 b=4.049 c=9.087 alpha=90.00 beta=90.00 gamma=90.00
Space group P4/nmm (No. 129, origin choice 2)
One atom of each set of equivalent atoms:
Mg  0.250  0.750  0.000 [2 per cell]
Pa  0.250  0.250  0.357 [2 per cell]
As  0.250  0.250  0.804 [2 per cell]
O  0.250  0.750  0.500 [2 per cell]

(3)
VASP calculation (PBE) on a relaxed structure of PrGd2Cd3Ga2Au.

Output
VASP energy in eV per atom: -3.478

Unit cell a=4.401 b=12.928 c=7.439 alpha=90.00 beta=90.00 gamma=90.00
Space group Amm2 (No. 38)
One atom of each set of equivalent atoms:
Pr  0.000  0.000  0.000 [2 per cell]
Gd  0.000  0.206  0.619 [4 per cell]
Cd  0.500  0.000  0.665 [2 per cell]
Cd  0.500  0.127  0.288 [4 per cell]
Ga  0.500  0.169  0.913 [4 per cell]
Au  0.000  0.000  0.419 [2 per cell]

(4)
VASP calculation (PBE) on a relaxed structure of Cu4Ag.

Output
E above lowest polymorph in meV/atom: 15.0
DFT formation energy in eV per atom: 0.059

Unit cell a=3.762 b=18.587 c=3.728 alpha=90.00 beta=90.00 gamma=90.00
Space group Cmmm (No. 65)
One atom of each set of equivalent atoms:
Cu  0.000  0.000  0.000 [2 per cell]
Cu  0.000  0.092  0.500 [4 per cell]
Cu  0.000  0.193  0.000 [4 per cell]
Cu  0.000  0.408  0.000 [4 per cell]
Cu  0.000  0.500  0.500 [2 per cell]
Ag  0.000  0.305  0.500 [4 per cell]

(5)
VASP calculation (PBE) on a relaxed structure of KSmGaSe3.

Output
VASP energy in eV per atom: -4.450

Unit cell a=4.583 b=14.291 c=11.178 alpha=90.00 beta=90.00 gamma=90.00
Space group Cmcm (No. 63)
One atom of each set of equivalent atoms:
K  0.000  0.249  0.250 [4 per cell]
Sm  0.000  0.500  0.000 [4 per cell]
Ga  0.000  0.015  0.750 [4 per cell]
Se  0.000  0.125  0.570 [8 per cell]
Se  0.000  0.434  0.750 [4 per cell]

(6)
VASP calculation (PBE) on a relaxed structure of BaSrZn2Bi4.

Output
VASP energy in eV per atom: -3.254

Unit cell a=4.690 b=4.690 c=23.034 alpha=90.00 beta=90.00 gamma=90.00
Space group I4mm (No. 107)
One atom of each set of equivalent atoms:
Ba  0.000  0.000  0.000 [2 per cell]
Sr  0.000  0.000  0.756 [2 per cell]
Zn  0.000  0.500  0.132 [4 per cell]
Bi  0.000  0.000  0.209 [2 per cell]
Bi  0.000  0.000  0.558 [2 per cell]
Bi  0.000  0.500  0.374 [4 per cell]

So what do the calculations give for calculated density? Going down the list: 5807; 7719; 8860; 9227; 4500; 7811 kg/m³.